1.
Computed, not measured: a relaxed structure of SrNi3Bi3 at the GGA-PBE level of DFT.

Lattice parameters (Å, degrees): 7.2132 7.2132 7.2132 90.00 90.00 90.00
With the nearest neighbours (Å) after each atom.
Fractional positions:
1 Sr 0.0000 0.0000 0.0000  12 Bi 4.03, 12 Ni 4.03
2 Sr 0.5000 0.5000 0.5000  12 Bi 4.03, 12 Ni 4.03
3 Ni 0.0000 0.2500 0.5000  4 Bi 2.55
4 Ni 0.0000 0.7500 0.5000  4 Bi 2.55
5 Ni 0.2500 0.5000 0.0000  4 Bi 2.55
6 Ni 0.5000 0.0000 0.2500  4 Bi 2.55
7 Ni 0.5000 0.0000 0.7500  4 Bi 2.55
8 Ni 0.7500 0.5000 0.0000  4 Bi 2.55
9 Bi 0.0000 0.5000 0.2500  4 Ni 2.55
10 Bi 0.0000 0.5000 0.7500  4 Ni 2.55
11 Bi 0.2500 0.0000 0.5000  4 Ni 2.55
12 Bi 0.5000 0.2500 0.0000  4 Ni 2.55
13 Bi 0.5000 0.7500 0.0000  4 Ni 2.55
14 Bi 0.7500 0.0000 0.5000  4 Ni 2.55

Energy relative to the elements: 0.18 eV per formula unit
Volume: 375.31 Å³ per cell
N(E_F): 0.775 states/eV/atom
SG: No. 223

2.
Computed, not measured: a relaxed structure of Sr2La2Re at the GGA-PBE level of DFT.

Lattice parameters (Å, degrees): 7.4834 7.4834 6.5710 90.00 90.00 90.00
With the nearest neighbours (Å) after each atom.
Fractional positions:
1 Sr 0.1874 0.3126 0.0000  2 La 3.59, 5 Sr 3.86-3.97
2 Sr 0.3126 0.8126 0.0000  2 La 3.59, 5 Sr 3.86-3.97
3 Sr 0.6874 0.1874 0.0000  2 La 3.59, 5 Sr 3.86-3.97
4 Sr 0.8126 0.6874 0.0000  2 La 3.59, 5 Sr 3.86-3.97
5 La 0.1749 0.6749 0.5000  2 Re 2.76
6 La 0.3251 0.1749 0.5000  2 Re 2.76
7 La 0.6749 0.8251 0.5000  2 Re 2.76
8 La 0.8251 0.3251 0.5000  2 Re 2.76
9 Re 0.0000 0.0000 0.5000  4 La 2.76
10 Re 0.5000 0.5000 0.5000  4 La 2.76

Energy relative to the elements: 2.19 eV per formula unit
Volume: 367.98 Å³ per cell
N(E_F): 1.220 states/eV/atom
SG: No. 127

3.
Computed, not measured: a relaxed structure of Pm2Pr3Er at the GGA-PBE level of DFT.

Lattice parameters (Å, degrees): 8.6042 3.7503 13.0253 90.00 90.03 90.00
With the nearest neighbours (Å) after each atom.
Fractional positions:
1 Pm 0.0828 0.2500 0.3906  2 Er 3.53, 6 Pr 3.64-3.77, 4 Pm 3.70-3.75
2 Pm 0.3496 0.7500 0.9470  2 Er 3.45, 4 Pm 3.48-3.75, 5 Pr 3.63-3.85
3 Pm 0.6504 0.2500 0.0530  2 Er 3.45, 4 Pm 3.48-3.75, 5 Pr 3.63-3.85
4 Pm 0.9172 0.7500 0.6094  2 Er 3.53, 6 Pr 3.64-3.77, 4 Pm 3.70-3.75
5 Pr 0.0857 0.2500 0.1102  2 Er 3.52, 4 Pm 3.63-3.82, 6 Pr 3.73-3.75
6 Pr 0.3462 0.7500 0.5555  2 Er 3.44, 4 Pr 3.55-3.75, 3 Pm 3.64-3.76
7 Pr 0.3962 0.7500 0.2488  1 Er 3.56, 6 Pr 3.73-3.86, 5 Pm 3.77-3.95
8 Pr 0.6038 0.2500 0.7512  1 Er 3.56, 6 Pr 3.73-3.86, 5 Pm 3.77-3.95
9 Pr 0.6538 0.2500 0.4445  2 Er 3.44, 4 Pr 3.55-3.75, 3 Pm 3.64-3.76
10 Pr 0.9143 0.7500 0.8898  2 Er 3.52, 4 Pm 3.63-3.82, 6 Pr 3.73-3.75
11 Er 0.1903 0.2500 0.7516  5 Pr 3.44-3.56, 4 Pm 3.45-3.53, 2 Er 3.75
12 Er 0.8097 0.7500 0.2484  5 Pr 3.44-3.56, 4 Pm 3.45-3.53, 2 Er 3.75

Energy relative to the elements: 0.30 eV per formula unit
Volume: 420.31 Å³ per cell
N(E_F): 1.497 states/eV/atom
SG: No. 11

4.
Computed, not measured: a relaxed structure of Na6LiF8 at the GGA-PBE level of DFT.

Lattice parameters (Å, degrees): 6.5647 6.5647 6.5647 60.00 60.00 60.00
With the nearest neighbours (Å) after each atom.
Fractional positions:
1 Na 0.0000 0.0000 0.5000  6 F 2.32-2.33
2 Na 0.0000 0.5000 0.0000  6 F 2.32-2.33
3 Na 0.0000 0.5000 0.5000  6 F 2.32-2.33
4 Na 0.5000 0.0000 0.0000  6 F 2.32-2.33
5 Na 0.5000 0.0000 0.5000  6 F 2.32-2.33
6 Na 0.5000 0.5000 0.0000  6 F 2.32-2.33
7 Li 0.0000 0.0000 0.0000  6 F 2.08
8 F 0.2245 0.2245 0.7755  1 Li 2.08, 4 Na 2.33
9 F 0.2245 0.7755 0.2245  1 Li 2.08, 4 Na 2.33
10 F 0.2245 0.7755 0.7755  1 Li 2.08, 4 Na 2.33
11 F 0.2500 0.2500 0.2500  6 Na 2.32
12 F 0.7500 0.7500 0.7500  6 Na 2.32
13 F 0.7755 0.2245 0.2245  1 Li 2.08, 4 Na 2.33
14 F 0.7755 0.2245 0.7755  1 Li 2.08, 4 Na 2.33
15 F 0.7755 0.7755 0.2245  1 Li 2.08, 4 Na 2.33

Volume: 200.04 Å³ per cell
ΔE_f (raw): -2.544 eV/atom
N(E_F): 1.374 states/eV/atom
SG: No. 225

Question: Look up the volume of the third one.
Answer: 420.31 Å³ per cell

Please write out number 1 again, unchanged.
Computed, not measured: a relaxed structure of SrNi3Bi3 at the GGA-PBE level of DFT.

Lattice parameters (Å, degrees): 7.2132 7.2132 7.2132 90.00 90.00 90.00
With the nearest neighbours (Å) after each atom.
Fractional positions:
1 Sr 0.0000 0.0000 0.0000  12 Bi 4.03, 12 Ni 4.03
2 Sr 0.5000 0.5000 0.5000  12 Bi 4.03, 12 Ni 4.03
3 Ni 0.0000 0.2500 0.5000  4 Bi 2.55
4 Ni 0.0000 0.7500 0.5000  4 Bi 2.55
5 Ni 0.2500 0.5000 0.0000  4 Bi 2.55
6 Ni 0.5000 0.0000 0.2500  4 Bi 2.55
7 Ni 0.5000 0.0000 0.7500  4 Bi 2.55
8 Ni 0.7500 0.5000 0.0000  4 Bi 2.55
9 Bi 0.0000 0.5000 0.2500  4 Ni 2.55
10 Bi 0.0000 0.5000 0.7500  4 Ni 2.55
11 Bi 0.2500 0.0000 0.5000  4 Ni 2.55
12 Bi 0.5000 0.2500 0.0000  4 Ni 2.55
13 Bi 0.5000 0.7500 0.0000  4 Ni 2.55
14 Bi 0.7500 0.0000 0.5000  4 Ni 2.55

Energy relative to the elements: 0.18 eV per formula unit
Volume: 375.31 Å³ per cell
N(E_F): 0.775 states/eV/atom
SG: No. 223

Question: Which formula does entry 4 have?
Answer: Na6LiF8